Record 1
The following is a GGA-PBE calculation of ReAg4Te after structural relaxation, from Alexandria.

Values from the calculation:
The density of states at the Fermi level comes out at 4.550 states/eV per cell. The calculation puts the formation energy (no corrections) at 79.37 kJ/mol of atoms. The total energy comes out at -3.68 eV/atom.

Cell lengths 5.4978, 5.4978, 5.4978 Å; angles 60.00, 60.00, 60.00 degrees
Atoms (fractional coordinates):
1 Re 0.0000 0.0000 0.0000
2 Ag 0.3745 0.3745 0.3745
3 Ag 0.3745 0.3745 0.8765
4 Ag 0.3745 0.8765 0.3745
5 Ag 0.8765 0.3745 0.3745
6 Te 0.7500 0.7500 0.7500



Record 2
The following is a GGA-PBE calculation of Zn2CdAg4 after structural relaxation, from Alexandria.

Values from the calculation:
Its formation energy is 80 meV/atom. The polymorph energy (0 for the lowest one) comes out at 0.48 eV/f.u. The density of states at the Fermi level comes out at 2.694 states/eV per cell. The total energy comes out at -2.04 eV/atom.

Cell lengths 6.9717, 6.9717, 6.9717 Å; angles 108.96, 108.96, 110.49 degrees
Atoms (fractional coordinates):
1 Zn 0.0219 0.6250 0.8969
2 Zn 0.3750 0.2719 0.3969
3 Zn 0.7281 0.1250 0.1031
4 Zn 0.8750 0.9781 0.6031
5 Cd 0.2500 0.7500 0.5000
6 Cd 0.5000 0.5000 0.0000
7 Ag 0.0943 0.3548 0.5724
8 Ag 0.1048 0.3443 0.0724
9 Ag 0.2719 0.0323 0.9276
10 Ag 0.4781 0.9057 0.2605
11 Ag 0.6452 0.2177 0.7395
12 Ag 0.6557 0.7281 0.7605
13 Ag 0.7823 0.5219 0.4276
14 Ag 0.9677 0.8952 0.2395



Record 3
The following is a GGA-PBE calculation of BeNb3Sb after structural relaxation, from Alexandria.

Values from the calculation:
The polymorph energy (0 for the lowest one) comes out at 7.56 eV/f.u. The density of states at the Fermi level comes out at 8.194 states/eV per cell. The calculation puts the formation energy (no corrections) at 176.87 kJ/mol of atoms. The total energy comes out at -5.78 eV/atom.

Cell lengths 5.0193, 5.0193, 5.0193 Å; angles 90.00, 90.00, 90.00 degrees
Atoms (fractional coordinates):
1 Be 0.0000 0.0000 0.0000
2 Nb 0.0000 0.5000 0.5000
3 Nb 0.5000 0.0000 0.5000
4 Nb 0.5000 0.5000 0.0000
5 Sb 0.5000 0.5000 0.5000



Record 4
The following is a GGA-PBE calculation of CoCu3Bi after structural relaxation, from Alexandria.

Values from the calculation:
Its formation energy is 726 meV/atom. The density of states at the Fermi level comes out at 3.870 states/eV per cell. The total energy comes out at -3.93 eV/atom.

Cell lengths 4.4823, 4.4823, 4.4823 Å; angles 90.00, 90.00, 90.00 degrees
Atoms (fractional coordinates):
1 Co 0.0000 0.0000 0.0000
2 Cu 0.0000 0.0000 0.5000
3 Cu 0.0000 0.5000 0.0000
4 Cu 0.5000 0.0000 0.0000
5 Bi 0.5000 0.5000 0.5000



Record 5
The following is a GGA-PBE calculation of Li4Mg2H after structural relaxation, from Alexandria.

Values from the calculation:
The density of states at the Fermi level comes out at 3.368 states/eV per cell. The total energy comes out at -2.11 eV/atom.

Cell lengths 8.5038, 8.5038, 8.5038 Å; angles 154.17, 154.17, 36.85 degrees
Atoms (fractional coordinates):
1 Li 0.0000 0.5000 0.5000
2 Li 0.1206 0.1206 0.0000
3 Li 0.5000 0.0000 0.5000
4 Li 0.8794 0.8794 0.0000
5 Mg 0.3083 0.3083 0.0000
6 Mg 0.6917 0.6917 0.0000
7 H 0.0000 0.0000 0.0000



Record 6
The following is a GGA-PBE calculation of Cu6PbO12 after structural relaxation, from Alexandria.

Values from the calculation:
The density of states at the Fermi level comes out at 19.595 states/eV per cell. The calculation puts the formation energy (no corrections) at 3.66 kJ/mol of atoms. The total energy comes out at -4.58 eV/atom.

Cell lengths 6.7067, 6.7067, 6.7067 Å; angles 109.47, 109.47, 109.47 degrees
Atoms (fractional coordinates):
1 Cu 0.1607 0.5000 0.6607
2 Cu 0.3393 0.8393 0.5000
3 Cu 0.5000 0.3393 0.8393
4 Cu 0.5000 0.6607 0.1607
5 Cu 0.6607 0.1607 0.5000
6 Cu 0.8393 0.5000 0.3393
7 Pb 0.0000 0.0000 0.0000
8 O 0.1521 0.4986 0.3465
9 O 0.1521 0.8055 0.6535
10 O 0.1945 0.3465 0.8479
11 O 0.3465 0.1521 0.4986
12 O 0.3465 0.8479 0.1945
13 O 0.4986 0.3465 0.1521
14 O 0.5014 0.6535 0.8479
15 O 0.6535 0.1521 0.8055
16 O 0.6535 0.8479 0.5014
17 O 0.8055 0.6535 0.1521
18 O 0.8479 0.1945 0.3465
19 O 0.8479 0.5014 0.6535



Record 7
The following is a GGA-PBE calculation of La15Sm4Mg after structural relaxation, from Alexandria.

Values from the calculation:
Its formation energy is 2 meV/atom. The density of states at the Fermi level comes out at 28.922 states/eV per cell. The total energy comes out at -4.72 eV/atom.

Cell lengths 5.2151, 5.2151, 26.1607 Å; angles 90.00, 90.00, 90.00 degrees
Atoms (fractional coordinates):
1 La 0.0000 0.0000 0.0000
2 La 0.0000 0.0000 0.1979
3 La 0.0000 0.0000 0.3988
4 La 0.0000 0.0000 0.6012
5 La 0.0000 0.0000 0.8021
6 La 0.0000 0.5000 0.0979
7 La 0.0000 0.5000 0.2979
8 La 0.0000 0.5000 0.5000
9 La 0.0000 0.5000 0.7021
10 La 0.0000 0.5000 0.9021
11 La 0.5000 0.0000 0.0979
12 La 0.5000 0.0000 0.2979
13 La 0.5000 0.0000 0.5000
14 La 0.5000 0.0000 0.7021
15 La 0.5000 0.0000 0.9021
16 Sm 0.5000 0.5000 0.1968
17 Sm 0.5000 0.5000 0.3994
18 Sm 0.5000 0.5000 0.6006
19 Sm 0.5000 0.5000 0.8032
20 Mg 0.5000 0.5000 0.0000



Record 8
The following is a GGA-PBE calculation of Y6Si2TeSe3 after structural relaxation, from Alexandria.

Values from the calculation:
The density of states at the Fermi level comes out at 4.130 states/eV per cell. The calculation puts the formation energy (no corrections) at -138.60 kJ/mol of atoms. The total energy comes out at -6.71 eV/atom.

Cell lengths 9.2879, 9.2879, 8.3850 Å; angles 102.47, 102.47, 25.81 degrees
Atoms (fractional coordinates):
1 Y 0.0087 0.0087 0.2709
2 Y 0.3265 0.3265 0.8929
3 Y 0.3296 0.3296 0.4237
4 Y 0.6704 0.6704 0.5763
5 Y 0.6735 0.6735 0.1071
6 Y 0.9913 0.9913 0.7291
7 Si 0.1676 0.1676 0.3361
8 Si 0.8324 0.8324 0.6639
9 Te 0.5000 0.5000 0.0000
10 Se 0.1622 0.1622 0.8366
11 Se 0.5000 0.5000 0.5000
12 Se 0.8378 0.8378 0.1634